Computed, not measured: crystalline SbW4AuN2 at its relaxed geometry at the GGA-PBE level of DFT.

Output
magnetic moment = 0.01 μB per cell
DFT total energy = -0.333 hartree per atom
calculated volume = 112 Å³/cell
crystal system = hexagonal

```
data_SbW4AuN2
_chemical_formula_sum 'Sb1 W4 Au1 N2'
_cell_length_a 2.9625
_cell_length_b 2.9625
_cell_length_c 14.7679
_cell_angle_alpha 90.00
_cell_angle_beta 90.00
_cell_angle_gamma 120.00
_symmetry_space_group_name_H-M 'P -6 m 2'
_symmetry_Int_Tables_number 187
_symmetry_space_group_name_Hall 'P -6 2'
loop_
_atom_site_label
_atom_site_fract_x
_atom_site_fract_y
_atom_site_fract_z
Sb1 0.0000 0.0000 0.0000
W1 0.0000 0.0000 0.3400
W2 0.6667 0.3333 0.1548
Au1 0.6667 0.3333 0.5000
N1 0.3333 0.6667 0.2478
```

Computed, not measured: crystalline LuBr at its relaxed geometry at the GGA-PBE level of DFT.

Output
magnetic moment = 0.09 μB per cell
DFT total energy = -0.124 hartree per atom
calculated volume = 256 Å³/cell
crystal system = cubic

```
data_LuBr
_chemical_formula_sum 'Lu4 Br4'
_cell_length_a 6.351
_cell_length_b 6.351
_cell_length_c 6.351
_cell_angle_alpha 90.00
_cell_angle_beta 90.00
_cell_angle_gamma 90.00
_symmetry_space_group_name_H-M 'F -4 3 m'
_symmetry_Int_Tables_number 216
_symmetry_space_group_name_Hall 'F -4 2 3'
loop_
_atom_site_label
_atom_site_fract_x
_atom_site_fract_y
_atom_site_fract_z
Lu1 0.000 0.000 0.000
Br1 0.250 0.250 0.250
```

Computed, not measured: crystalline SrFeCuSe3 at its relaxed geometry at the GGA-PBE level of DFT.

Output
magnetic moment = 15.69 μB per cell
energy relative to the lowest polymorph listed for this composition = 19 meV per atom
DFT total energy = -0.173 hartree per atom
calculated volume = 517 Å³/cell
crystal system = orthorhombic

```
data_SrFeCuSe3
_chemical_formula_sum 'Sr4 Fe4 Cu4 Se12'
_cell_length_a 3.885
_cell_length_b 13.737
_cell_length_c 9.678
_cell_angle_alpha 90.00
_cell_angle_beta 90.00
_cell_angle_gamma 90.00
_symmetry_space_group_name_H-M 'C m c m'
_symmetry_Int_Tables_number 63
_symmetry_space_group_name_Hall '-C 2c 2'
loop_
_atom_site_label
_atom_site_fract_x
_atom_site_fract_y
_atom_site_fract_z
Sr1 0.000 0.243 0.250
Fe1 0.000 0.000 0.000
Cu1 0.000 0.465 0.750
Se1 0.000 0.071 0.750
Se2 0.000 0.368 0.542
```

Computed, not measured: crystalline YTlPt2 at its relaxed geometry at the GGA-PBE level of DFT.

Output
magnetic moment = 0.03 μB per cell
DFT total energy = -0.210 hartree per atom
calculated volume = 321 Å³/cell
crystal system = cubic

```
data_YTlPt2
_chemical_formula_sum 'Y4 Tl4 Pt8'
_cell_length_a 6.850
_cell_length_b 6.850
_cell_length_c 6.850
_cell_angle_alpha 90.00
_cell_angle_beta 90.00
_cell_angle_gamma 90.00
_symmetry_space_group_name_H-M 'F -4 3 m'
_symmetry_Int_Tables_number 216
_symmetry_space_group_name_Hall 'F -4 2 3'
loop_
_atom_site_label
_atom_site_fract_x
_atom_site_fract_y
_atom_site_fract_z
Y1 0.000 0.000 0.000
Tl1 0.250 0.250 0.750
Pt1 0.000 0.000 0.500
Pt2 0.250 0.250 0.250
```

Among the records above, which one has the lowest DFT total energy?
SbW4AuN2